1.
PaAlZnNi | Alexandria via LeMat-Bulk | PBE | optimized geometry; DOS at the Fermi energy = 2.62 states/eV/cell; raw total energy = -5.34 eV per atom; energy of formation from the pure elements = -102 kJ/mol of formula units; ρ = 9.1 g/cm³
1.0
-0.6450 3.0546 3.3997
-1.1846 -1.4561 4.2168
3.0323 0.2658 3.4698
Ni Pa Zn Al
1 1 1 1
Cartesian
0.3007 0.4661 2.7716
0.0000 0.0000 0.0000
0.9020 1.3982 8.3147
0.6013 0.9322 5.5431

=====

2.
Ac3Sb2N | Alexandria via LeMat-Bulk | PBE | optimized geometry; energy relative to the elements, uncorrected = -6.634 eV/f.u.; raw total energy = -5.92 eV per atom; energy above the most stable polymorph in this dataset = 0.000 eV/f.u.; ρ = 7.5 g/cm³
1.0
-5.4837 5.0620 0.3104
-2.6189 -0.0430 8.0457
2.3600 6.4791 2.8711
Ac N Sb
6 2 4
Cartesian
-5.4652 9.7597 10.2905
-3.5545 9.8898 6.4639
-1.2549 5.9336 3.9161
-4.4877 5.5646 7.3111
-2.1881 1.6084 4.7633
-0.2774 1.7385 0.9367
-6.7214 5.1611 6.5818
0.9788 6.3371 4.6454
-2.9222 3.6750 1.9640
-4.3498 7.3318 4.3135
-1.3928 4.1664 6.9137
-2.8205 7.8232 9.2631

=====

3.
Ce2Ga12Ge | Alexandria via LeMat-Bulk | PBE | optimized geometry; DOS at the Fermi energy = 29.04 states/eV/cell; raw total energy = -3.75 eV per atom; energy of formation from the pure elements = -334 kJ/mol of formula units; ρ = 6.5 g/cm³
1.0
-1.5060 -0.0450 -6.2309
5.2097 -3.5258 -1.2337
-7.9416 -12.4375 2.0092
Ce Ga Ge
4 24 2
Cartesian
0.6788 -4.7793 -0.1296
-6.7686 -9.4436 -1.5935
-3.4107 -11.1840 0.9051
-2.6790 -3.0389 -2.6282
-2.7256 -4.2686 0.6896
-4.6752 -12.0076 -2.0810
-4.1423 -7.7513 -1.1000
-0.5422 -2.0396 -4.8038
-1.4145 -2.2153 0.3579
-6.2955 -12.2091 -0.0359
-0.8737 -6.0540 -3.0427
-5.2160 -8.1688 1.3196
0.4253 -8.2414 -2.2004
-1.1307 -7.7205 -5.1257
-6.5271 -10.2222 1.6514
0.2058 -2.0137 -1.6872
-3.6921 -13.9721 -0.6588
-4.4501 -13.9912 -3.7730
-7.0535 -12.2282 -3.1502
2.0642 -3.8025 -5.4147
-3.3641 -9.9542 -2.4127
2.8121 -3.7766 -2.2980
-1.3053 -9.5072 -0.7564
0.4374 -4.0007 -3.3744
-4.0922 -8.3172 -4.4056
-1.2553 -10.0732 -4.0620
-3.5035 -5.9506 -3.5484
-1.9474 -6.4716 -0.6231
2.6049 -1.7629 -0.6169
-0.7530 -0.0225 -3.1155

=====

4.
Pm2DyY3Sb6 | Alexandria via LeMat-Bulk | PBE | optimized geometry; DOS at the Fermi energy = 2.23 states/eV/cell; energy relative to the elements, uncorrected = -13.978 eV/f.u.; raw total energy = -6.02 eV per atom; ρ = 6.6 g/cm³
1.0
7.6667 -0.0017 0.0007
-3.8329 6.6398 0.0007
-1.2784 -2.2135 7.2200
Sb Y Pm Dy
6 3 2 1
Cartesian
-1.2642 2.1864 1.8309
-0.0166 -0.0287 5.3767
2.5256 -0.0023 1.8309
0.0297 4.4270 5.3905
3.8196 2.2382 5.3905
2.5720 4.4533 1.8447
-2.5352 4.4144 3.6107
1.2777 2.2123 3.6107
5.0905 0.0102 3.6107
0.0076 4.4218 0.0007
3.8262 2.2164 0.0007
0.0000 0.0000 0.0000

=====

5.
BeSiF | Alexandria via LeMat-Bulk | PBE | optimized geometry; DOS at the Fermi energy = 0.51 states/eV/cell; energy relative to the elements, uncorrected = -3.766 eV/f.u.; raw total energy = -4.93 eV per atom; energy above the most stable polymorph in this dataset = 0.178 eV/f.u.; ρ = 2.3 g/cm³
1.0
5.6710 0.0000 -0.0031
0.0000 4.2463 0.0000
-3.1285 0.0000 6.5986
Si F Be
4 4 4
Cartesian
0.5753 2.8412 5.6381
2.1396 0.7180 2.3388
0.4029 0.7180 4.2567
1.9671 2.8412 0.9574
-2.3897 0.9707 5.5220
4.9322 0.9707 1.0735
3.3679 3.0938 4.3728
-0.8254 3.0938 2.2227
5.1602 2.4901 0.8626
-2.6178 2.4901 5.7329
-1.0535 0.3669 2.4336
3.5960 0.3669 4.1619

=====

6.
Sr2CuAs | Alexandria via LeMat-Bulk | PBE | optimized geometry; DOS at the Fermi energy = 2.90 states/eV/cell; raw total energy = -3.03 eV per atom; energy of formation from the pure elements = -1 kJ/mol of formula units; ρ = 4.9 g/cm³
1.0
-4.0716 1.8009 -2.8939
-0.5100 -1.4788 -5.0743
-3.9096 -3.2989 -1.4239
Sr Cu As
2 1 1
Cartesian
0.0000 0.0000 0.0000
-2.1228 -0.7442 -2.3480
-6.3684 -2.2326 -7.0441
-4.2456 -1.4884 -4.6960

=====

7.
Pm3BS6 | Alexandria via LeMat-Bulk | PBE | optimized geometry; DOS at the Fermi energy = 0.00 states/eV/cell; energy relative to the elements, uncorrected = -16.161 eV/f.u.; raw total energy = -6.19 eV per atom; ρ = 4.6 g/cm³
1.0
6.4163 0.0000 0.0000
0.0000 8.6006 0.0886
0.0000 -1.8328 8.4035
Pm S B
6 12 2
Cartesian
6.3185 4.4629 7.7917
2.5388 2.3030 5.1075
5.7469 4.4648 3.3846
6.3185 0.1685 2.4030
3.1104 2.3048 0.7004
3.1104 6.5993 6.0891
4.1408 8.0222 0.5496
1.2339 2.5631 2.6627
1.4760 6.4375 1.8125
4.4420 4.2046 5.8294
4.2538 6.9367 3.4422
1.0457 1.8075 7.5299
4.6841 0.3303 6.6796
4.2538 4.9602 0.9622
1.2339 4.7441 5.3994
4.4420 2.0236 3.0927
1.0457 -0.1690 5.0499
0.9327 -1.2544 7.9425
0.2194 0.1963 6.7864
3.4275 6.5714 1.7057

=====

8.
Cs12Au5Br3 | Alexandria via LeMat-Bulk | PBE | optimized geometry; DOS at the Fermi energy = 64.88 states/eV/cell; energy relative to the elements, uncorrected = -11.677 eV/f.u.; raw total energy = -2.17 eV per atom; ρ = 3.8 g/cm³
1.0
18.6428 0.0000 0.0000
-6.2143 17.5766 0.0000
-6.2143 -8.7883 15.2218
Br Au Cs
12 20 48
Cartesian
4.6607 9.8868 9.5136
13.9821 0.0000 3.8054
1.5536 8.7883 3.8054
10.8750 5.4927 1.9027
-4.6607 -3.2956 13.3190
7.7678 1.0985 5.7082
-4.6607 3.2956 13.3190
1.5536 -1.0985 5.7082
-1.5536 7.6898 9.5136
-7.7678 8.7883 11.4163
10.8750 12.0839 1.9027
4.6607 0.0000 11.4163
4.6607 13.1824 3.8054
1.5536 5.4927 13.3190
-3.1071 -4.3941 7.6109
9.3214 0.0000 0.0000
-4.6607 9.8868 5.7082
7.7678 4.3941 11.4163
6.2143 8.7883 0.0000
-1.5536 14.2810 1.9027
0.0000 0.0000 0.0000
7.7678 7.6898 5.7082
4.6607 3.2956 1.9027
-3.1071 8.7883 0.0000
1.5536 -4.3941 11.4163
-1.5536 4.3941 3.8054
-1.5536 1.0985 9.5136
10.8750 -1.0985 9.5136
7.7678 -5.4927 13.3190
6.2143 -4.3941 7.6109
3.1071 4.3941 7.6109
-6.2143 4.3941 7.6109
7.4850 -1.3400 9.1187
-6.8654 0.1977 12.5487
9.3341 15.8120 0.7258
4.3778 7.4483 6.1031
6.8465 7.6640 11.8229
12.4412 -4.1404 9.5020
11.7963 0.8885 6.8851
11.1578 -5.9554 13.3307
-6.2269 12.9287 5.7198
3.7583 6.5722 1.5078
2.4749 6.7756 10.2840
-3.1198 4.1404 9.5020
3.1198 -2.8833 8.7762
-5.5820 7.8998 8.3367
-3.7393 9.9126 11.8229
9.3341 4.6479 5.7198
2.4560 -2.4139 14.0565
-1.2707 10.1282 6.1031
2.4560 2.2161 13.7140
6.2016 2.8833 8.7762
-7.4850 4.6154 11.0098
12.4158 1.7646 0.7258
-0.6512 11.0044 1.5078
-3.1198 -7.0237 14.4960
5.5820 -2.0127 4.9378
3.0945 11.6716 6.4456
9.9536 -1.1243 3.3989
13.0797 8.5905 2.6731
-1.8364 -4.6154 11.0098
6.8654 -2.2161 13.7140
0.0127 5.9050 6.4456
-0.6322 1.1243 3.3989
-6.2016 7.0237 14.4960
-0.6512 6.3744 1.1653
8.6892 9.6768 8.3367
3.7583 11.2021 1.1653
0.6322 10.8010 10.2840
8.6702 8.9860 2.6731
6.8654 2.4139 14.0565
-2.4749 -0.8885 6.8851
3.7393 2.0127 4.9378
8.0507 2.8329 1.8911
-1.8364 5.9554 13.3307
1.8364 1.3400 9.1187
-2.4560 -0.1977 12.5487
-4.9435 14.7437 1.8911
8.0507 13.4037 4.2120
13.6992 4.1728 4.2120

=====

9.
Cd7SF12 | Alexandria via LeMat-Bulk | PBE | optimized geometry; DOS at the Fermi energy = 0.00 states/eV/cell; energy relative to the elements, uncorrected = -39.274 eV/f.u.; raw total energy = -3.61 eV per atom; ρ = 4.8 g/cm³
1.0
8.3801 0.0000 -1.7247
-3.5006 6.0769 -2.8616
-1.3788 0.0000 7.4479
S Cd F
1 7 12
Cartesian
0.0000 0.0000 0.0000
7.2981 0.8153 0.5285
1.5410 2.1300 -0.0228
1.9596 3.9469 2.8844
5.1756 1.3147 4.3628
-1.6749 4.7622 -1.5012
4.1900 0.0000 -0.8624
-3.7975 5.2616 2.3331
0.6291 2.3628 2.1533
2.8715 3.7141 0.7083
-0.3655 3.1178 -0.8725
-2.2168 4.3909 3.6934
-3.0411 5.3220 0.2744
3.8661 2.9591 3.7341
5.7174 1.6861 -0.8318
0.4415 5.5264 1.8280
3.0592 0.5505 1.0336
6.5417 0.7550 2.5872
2.4090 4.9413 -2.7595
1.0916 1.1356 5.6211

=====

10.
NdAlOs | Alexandria via LeMat-Bulk | PBE | optimized geometry; DOS at the Fermi energy = 1.49 states/eV/cell; raw total energy = -6.79 eV per atom; energy of formation from the pure elements = -59 kJ/mol of formula units; ρ = 9.2 g/cm³
1.0
-0.0881 0.9500 -3.9116
4.1713 -1.0756 -0.3552
-3.0632 -2.9785 -0.6544
Os Nd Al
1 1 1
Cartesian
-0.6664 -2.1858 -1.2068
1.7011 -1.0766 -3.0626
-0.0147 0.1583 -0.6518

=====

11.
BeIn2Hg | Alexandria via LeMat-Bulk | PBE | optimized geometry; DOS at the Fermi energy = 3.70 states/eV/cell; raw total energy = -1.97 eV per atom; energy of formation from the pure elements = 157 kJ/mol of formula units; energy above the most stable polymorph in this dataset = 0.602 eV/f.u.; ρ = 7.8 g/cm³
1.0
4.5630 0.0000 0.0000
0.0000 4.5630 0.0000
2.2815 2.2815 8.9436
Hg In Be
2 4 2
Cartesian
0.0000 0.0000 0.0000
4.5630 2.2815 4.4718
3.4223 3.5954 6.7077
5.7038 5.5306 6.7077
1.3139 3.4223 2.2359
3.2491 1.1408 2.2359
2.2815 2.2815 0.0000
2.2815 4.5630 4.4718

=====

12.
ZrRe3O | Alexandria via LeMat-Bulk | PBE | optimized geometry; DOS at the Fermi energy = 3.86 states/eV/cell; energy relative to the elements, uncorrected = 0.732 eV/f.u.; raw total energy = -10.02 eV per atom; energy above the most stable polymorph in this dataset = 0.000 eV/f.u.; ρ = 15.1 g/cm³
1.0
4.1812 0.0000 0.0000
0.0000 4.1812 0.0000
0.0000 0.0000 4.1812
O Re Zr
1 3 1
Cartesian
0.0000 0.0000 0.0000
2.0906 0.0000 0.0000
0.0000 0.0000 2.0906
0.0000 2.0906 0.0000
2.0906 2.0906 2.0906

=====

13.
POsNCl2 | Alexandria via LeMat-Bulk | PBE | optimized geometry; DOS at the Fermi energy = 4.62 states/eV/cell; energy relative to the elements, uncorrected = 9.184 eV/f.u.; raw total energy = -3.89 eV per atom; energy above the most stable polymorph in this dataset = 2.671 eV/f.u.; ρ = 6.6 g/cm³
1.0
4.0858 0.0000 0.0000
0.0000 4.0858 0.0000
0.0000 0.0000 4.5893
Os Cl P N
1 2 1 1
Cartesian
2.0429 2.0429 2.2947
0.0000 2.0429 0.0000
2.0429 0.0000 0.0000
0.0000 0.0000 2.2947
0.0000 0.0000 0.0000

=====

14.
Th6CuSn2 | Alexandria via LeMat-Bulk | PBE | optimized geometry; DOS at the Fermi energy = 9.39 states/eV/cell; raw total energy = -6.59 eV per atom; energy of formation from the pure elements = -263 kJ/mol of formula units; ρ = 10.6 g/cm³
1.0
-0.1905 2.0766 3.5752
7.0950 -4.0076 2.7057
0.6262 7.4193 -4.2759
Th Cu Sn
6 1 2
Cartesian
1.7336 -0.9792 0.6611
3.1166 2.4572 1.1346
7.2479 -2.1947 1.6609
5.8345 2.5780 -1.1866
4.0484 -1.3022 3.3678
0.2708 5.3714 -0.7096
6.9993 -2.9691 4.4931
4.9390 -0.1987 0.3785
2.7826 3.6101 -1.9486

=====

15.
B3P2 | Alexandria via LeMat-Bulk | PBE | optimized geometry; DOS at the Fermi energy = 0.60 states/eV/cell; raw total energy = -5.88 eV per atom; energy of formation from the pure elements = 138 kJ/mol of formula units; energy above the most stable polymorph in this dataset = 0.749 eV/f.u.; ρ = 2.4 g/cm³
1.0
-0.0133 -0.3765 3.1353
2.1595 -1.8759 -1.8064
4.0554 5.9563 -0.8213
B P
3 2
Cartesian
3.7686 2.0246 0.8926
4.3080 3.6281 1.0874
4.4773 5.2692 1.2853
2.1663 -1.3663 -1.1481
3.0543 2.9922 -0.5846

=====

16.
TmRe2B6 | Alexandria via LeMat-Bulk | PBE | optimized geometry; DOS at the Fermi energy = 3.49 states/eV/cell; raw total energy = -8.11 eV per atom; energy of formation from the pure elements = -341 kJ/mol of formula units; ρ = 11.1 g/cm³
1.0
3.0927 0.0000 0.0000
1.5464 5.4901 -0.1467
1.5464 1.4359 5.3010
B Re Tm
6 2 1
Cartesian
1.5464 1.1277 2.9802
1.5464 2.1130 4.3912
1.5464 3.1785 0.2245
4.6391 3.7475 4.9299
4.6391 5.7983 2.1741
1.5464 4.8130 0.7631
4.6391 5.8290 4.3379
1.5464 1.0971 0.8164
3.0927 3.4630 2.5772

=====

17.
Rb3VPb | Alexandria via LeMat-Bulk | PBE | optimized geometry; DOS at the Fermi energy = 9.86 states/eV/cell; raw total energy = -2.15 eV per atom; energy of formation from the pure elements = 481 kJ/mol of formula units; ρ = 2.9 g/cm³
1.0
6.6811 0.0000 0.0000
0.0000 6.6811 0.0000
0.0000 0.0000 6.6811
Rb V Pb
3 1 1
Cartesian
3.3405 0.0000 0.0000
0.0000 0.0000 3.3405
0.0000 3.3405 0.0000
0.0000 0.0000 0.0000
3.3405 3.3405 3.3405

=====

18.
Pm2Mg5Sn4 | Alexandria via LeMat-Bulk | PBE | optimized geometry; DOS at the Fermi energy = 4.05 states/eV/cell; raw total energy = -3.25 eV per atom; energy of formation from the pure elements = -214 kJ/mol of formula units; ρ = 4.9 g/cm³
1.0
6.1742 0.0000 0.0000
3.0871 5.9128 0.0000
3.0871 0.0000 8.2145
Pm Sn Mg
2 4 5
Cartesian
6.1742 0.0000 2.5146
3.0871 0.0000 5.7000
3.0871 1.4992 2.3273
9.2612 4.4136 5.8872
6.1742 1.4992 5.8872
6.1742 4.4136 2.3273
1.5435 2.9564 0.0000
7.7177 2.9564 4.1073
4.6306 2.9564 0.0000
4.6306 2.9564 4.1073
3.0871 0.0000 0.0000

=====

19.
La3Pr2Au2 | Alexandria via LeMat-Bulk | PBE | optimized geometry; DOS at the Fermi energy = 7.50 states/eV/cell; raw total energy = -4.88 eV per atom; energy of formation from the pure elements = -312 kJ/mol of formula units; ρ = 8.1 g/cm³
1.0
-2.0028 -1.1725 3.2232
-3.9285 -1.3268 -5.3708
6.6188 -6.7062 1.6733
La Au Pr
3 2 2
Cartesian
-1.0014 -0.5862 1.6116
-0.1551 -5.2025 -1.9889
0.8426 -4.0029 1.5146
-0.1091 -2.1672 -0.8562
0.7966 -7.0382 0.3819
-3.1595 -3.1236 -0.6524
3.8469 -6.0818 0.1781